No. 1
Below is a relaxed TiMnSe2N crystal, with properties calculated at the GGA-PBE level.

The structure in CIF format:
```
data_TiMnSe2N
_chemical_formula_sum 'Ti1 Mn1 Se2 N1'
_cell_length_a 4.936
_cell_length_b 4.936
_cell_length_c 3.484
_cell_angle_alpha 90.00
_cell_angle_beta 90.00
_cell_angle_gamma 90.00
_space_group_name_H-M_alt 'P 1'
_space_group_IT_number 1
_space_group_name_Hall 'P 1'
loop_
_atom_site_label
_atom_site_fract_x
_atom_site_fract_y
_atom_site_fract_z
_atom_site_occupancy
Ti1 0.000 0.000 0.000 1
Mn1 0.500 0.500 0.500 1
Se1 0.000 0.500 0.500 1
Se2 0.500 0.000 0.500 1
N1 0.500 0.500 0.000 1
```

Uncorrected energy   -6.49 eV per atom
Symmetry   No. 123
ΔE_f (raw)   -17 meV per atom
Volume   84.9 Å³/f.u.
Mass density   5.4 g/cm3
ΔE to the lowest computed polymorph   18 meV per atom

---

No. 2
Below is a relaxed KLiSe2 crystal, with properties calculated at the GGA-PBE level.

The structure in CIF format:
```
data_KLiSe2
_chemical_formula_sum 'K1 Li1 Se2'
_cell_length_a 5.444
_cell_length_b 5.444
_cell_length_c 5.444
_cell_angle_alpha 129.63
_cell_angle_beta 128.69
_cell_angle_gamma 74.76
_space_group_name_H-M_alt 'P 1'
_space_group_IT_number 1
_space_group_name_Hall 'P 1'
loop_
_atom_site_label
_atom_site_fract_x
_atom_site_fract_y
_atom_site_fract_z
_atom_site_occupancy
K1 0.000 0.000 0.000 1
Li1 0.500 0.500 0.000 1
Se1 0.251 0.751 0.500 1
Se2 0.749 0.249 0.500 1
```

Uncorrected energy   -3.10 eV per atom
Symmetry   No. 71
ΔE_f (raw)   -601 meV per atom
Volume   94.5 Å³/f.u.
Mass density   3.6 g/cm3

---

No. 3
Below is a relaxed NdCdHg3 crystal, with properties calculated at the GGA-PBE level.

The structure in CIF format:
```
data_NdCdHg3
_chemical_formula_sum 'Nd2 Cd2 Hg6'
_cell_length_a 5.124
_cell_length_b 5.171
_cell_length_c 9.720
_cell_angle_alpha 90.00
_cell_angle_beta 105.28
_cell_angle_gamma 90.00
_space_group_name_H-M_alt 'P 1'
_space_group_IT_number 1
_space_group_name_Hall 'P 1'
loop_
_atom_site_label
_atom_site_fract_x
_atom_site_fract_y
_atom_site_fract_z
_atom_site_occupancy
Nd1 0.150 0.250 0.301 1
Nd2 0.850 0.750 0.699 1
Cd1 0.350 0.250 0.698 1
Cd2 0.650 0.750 0.302 1
Hg1 0.046 0.750 0.092 1
Hg2 0.248 0.750 0.498 1
Hg3 0.452 0.750 0.901 1
Hg4 0.548 0.250 0.099 1
Hg5 0.752 0.250 0.502 1
Hg6 0.954 0.250 0.908 1
```

Uncorrected energy   -1.63 eV per atom
Symmetry   No. 11
Energy of formation   -0.31 eV/atom
Volume   124.2 Å³/f.u.
Mass density   11.5 g/cm3
ΔE to the lowest computed polymorph   0 meV per atom

---

No. 4
Below is a relaxed MoCCl3 crystal, with properties calculated at the GGA-PBE level.

The structure in CIF format:
```
data_MoCCl3
_chemical_formula_sum 'Mo1 C1 Cl3'
_cell_length_a 4.918
_cell_length_b 4.918
_cell_length_c 4.918
_cell_angle_alpha 90.00
_cell_angle_beta 90.00
_cell_angle_gamma 90.00
_space_group_name_H-M_alt 'P 1'
_space_group_IT_number 1
_space_group_name_Hall 'P 1'
loop_
_atom_site_label
_atom_site_fract_x
_atom_site_fract_y
_atom_site_fract_z
_atom_site_occupancy
Mo1 0.000 0.000 0.000 1
C1 0.500 0.500 0.500 1
Cl1 0.000 0.000 0.500 1
Cl2 0.000 0.500 0.000 1
Cl3 0.500 0.000 0.000 1
```

Uncorrected energy   -4.02 eV per atom
Symmetry   No. 221
ΔE_f (raw)   1095 meV per atom
Volume   119.0 Å³/f.u.
Mass density   3.0 g/cm3

---

No. 5
Below is a relaxed InIrRu2 crystal, with properties calculated at the GGA-PBE level.

The structure in CIF format:
```
data_InIrRu2
_chemical_formula_sum 'In1 Ir1 Ru2'
_cell_length_a 2.833
_cell_length_b 3.813
_cell_length_c 5.789
_cell_angle_alpha 90.00
_cell_angle_beta 90.00
_cell_angle_gamma 90.00
_space_group_name_H-M_alt 'P 1'
_space_group_IT_number 1
_space_group_name_Hall 'P 1'
loop_
_atom_site_label
_atom_site_fract_x
_atom_site_fract_y
_atom_site_fract_z
_atom_site_occupancy
In1 0.000 0.000 0.000 1
Ir1 0.500 0.500 0.267 1
Ru1 0.000 0.000 0.508 1
Ru2 0.500 0.500 0.724 1
```

Uncorrected energy   -7.38 eV per atom
Symmetry   No. 25
Energy of formation   0.16 eV/atom
Volume   62.5 Å³/f.u.
Mass density   13.5 g/cm3

---

No. 6
Below is a relaxed PmThOsI crystal, with properties calculated at the GGA-PBE level.

The structure in CIF format:
```
data_PmThOsI
_chemical_formula_sum 'Pm1 Th1 Os1 I1'
_cell_length_a 8.543
_cell_length_b 8.543
_cell_length_c 8.543
_cell_angle_alpha 28.43
_cell_angle_beta 28.43
_cell_angle_gamma 28.43
_space_group_name_H-M_alt 'P 1'
_space_group_IT_number 1
_space_group_name_Hall 'P 1'
loop_
_atom_site_label
_atom_site_fract_x
_atom_site_fract_y
_atom_site_fract_z
_atom_site_occupancy
Pm1 0.000 0.000 0.000 1
Th1 0.786 0.786 0.786 1
Os1 0.397 0.397 0.397 1
I1 0.228 0.228 0.228 1
```

Uncorrected energy   -6.88 eV per atom
Symmetry   No. 160
ΔE_f (raw)   -640 meV per atom
Volume   124.8 Å³/f.u.
Mass density   9.2 g/cm3

---

What is the formula in the sixth record?
PmThOsI

---

The highest uncorrected energy belongs to which entry?
NdCdHg3